# 1
The following is a PBE calculation of an optimized crystal structure of AsRuSe2F, from Alexandria via LeMat-Bulk.

Values from the calculation:
Its offset from the most stable computed form is 0 meV/atom. For the energy relative to the elements, uncorrected, the calculation gives 277 meV/atom. The volume is 111.8 Å³/f.u.

Cell: 4.8393 4.8393 4.7737 Å, 90.00 90.00 90.00°
Element x y z (fractional)
Se  0.5000  0.0000  0.0000
Se  0.0000  0.5000  0.0000
F  0.5000  0.5000  0.5000
As  0.0000  0.0000  0.5000
Ru  0.0000  0.0000  0.0000

=====

# 2
The following is a PBE calculation of an optimized crystal structure of SrAsRuF2, from Alexandria via LeMat-Bulk.

Values from the calculation:
For the energy relative to the elements, uncorrected, the calculation gives -214 meV/atom. The volume is 117.9 Å³/f.u.

Cell: 4.2229 6.6123 4.2229 Å, 90.00 90.00 90.00°
Element x y z (fractional)
F  0.0000  0.0000  0.5000
F  0.5000  0.0000  0.0000
Sr  0.0000  0.5000  0.0000
Ru  0.5000  0.5000  0.5000
As  0.0000  0.0000  0.0000

=====

# 3
The following is a PBE calculation of an optimized crystal structure of SrAsRuF, from Alexandria via LeMat-Bulk.

Values from the calculation:
For the energy relative to the elements, uncorrected, the calculation gives -1929 meV/atom. The volume is 75.4 Å³/f.u.

Cell: 4.1743 4.1743 8.6495 Å, 90.00 90.00 90.00°
Element x y z (fractional)
F  0.0000  0.0000  0.5000
F  0.5000  0.5000  0.5000
As  0.0000  0.5000  0.8511
As  0.5000  0.0000  0.1489
Ru  0.5000  0.5000  0.0000
Ru  0.0000  0.0000  0.0000
Sr  0.5000  0.0000  0.6613
Sr  0.0000  0.5000  0.3387